Ta6AlGa3: relaxed, GGA-PBE.

Lattice parameters (Å, degrees): 7.152 6.599 9.858 90.00 129.74 90.00
Sites, in units of the cell vectors:
Ta: 0.025 0.138 0.306
Ta: 0.025 0.362 0.806
Ta: 0.276 0.195 0.709
Ta: 0.276 0.305 0.209
Ta: 0.400 0.614 0.853
Ta: 0.400 0.886 0.353
Ta: 0.600 0.114 0.647
Ta: 0.600 0.386 0.147
Ta: 0.724 0.695 0.791
Ta: 0.724 0.805 0.291
Ta: 0.975 0.638 0.194
Ta: 0.975 0.862 0.694
Al: 0.000 0.000 0.000
Al: 0.000 0.500 0.500
Ga: 0.244 0.675 0.051
Ga: 0.244 0.825 0.551
Ga: 0.500 0.000 0.000
Ga: 0.500 0.500 0.500
Ga: 0.756 0.175 0.449
Ga: 0.756 0.325 0.949

Calculated values
**DFT formation energy**: 0.075 eV/atom
**DOS at the Fermi energy**: 13.6 states/eV per cell
**Crystal system**: monoclinic

=====

Zn3CrPd12: relaxed, GGA-PBE.

Lattice parameters (Å, degrees): 3.903 3.903 15.712 90.00 90.00 90.00
Sites, in units of the cell vectors:
Zn: 0.000 0.000 0.000
Zn: 0.000 0.000 0.249
Zn: 0.000 0.000 0.751
Cr: 0.000 0.000 0.500
Pd: 0.000 0.500 0.125
Pd: 0.000 0.500 0.377
Pd: 0.000 0.500 0.623
Pd: 0.000 0.500 0.875
Pd: 0.500 0.000 0.125
Pd: 0.500 0.000 0.377
Pd: 0.500 0.000 0.623
Pd: 0.500 0.000 0.875
Pd: 0.500 0.500 0.000
Pd: 0.500 0.500 0.251
Pd: 0.500 0.500 0.500
Pd: 0.500 0.500 0.749

Calculated values
**DFT formation energy**: -0.245 eV/atom
**DOS at the Fermi energy**: 23.6 states/eV per cell
**Crystal system**: tetragonal

=====

Si2NiRh: relaxed, GGA-PBE.

Lattice parameters (Å, degrees): 4.923 4.923 4.923 44.74 44.74 44.74
Sites, in units of the cell vectors:
Si: 0.000 0.000 0.000
Si: 0.194 0.194 0.194
Ni: 0.583 0.583 0.583
Rh: 0.779 0.779 0.779

Calculated values
**DOS at the Fermi energy**: 1.8 states/eV per cell
**E_form (uncorrected)**: -446 meV/atom
**Crystal system**: trigonal

=====

Sr3Th2NpN6: relaxed, GGA-PBE.

Lattice parameters (Å, degrees): 6.368 6.368 6.398 99.54 99.54 120.01
Sites, in units of the cell vectors:
Sr: 0.000 0.000 0.000
Sr: 0.336 0.664 0.000
Sr: 0.664 0.336 0.000
Th: 0.167 0.833 0.500
Th: 0.833 0.167 0.500
Np: 0.500 0.500 0.500
N: 0.119 0.433 0.299
N: 0.253 0.253 0.701
N: 0.433 0.119 0.299
N: 0.567 0.881 0.701
N: 0.747 0.747 0.299
N: 0.881 0.567 0.701

Calculated values
**DOS at the Fermi energy**: 7.2 states/eV per cell
**E_form (uncorrected)**: -1204 meV/atom
**Crystal system**: monoclinic

=====

TeRhI: relaxed, GGA-PBE.

Lattice parameters (Å, degrees): 6.611 3.911 7.053 90.00 92.91 90.00
Sites, in units of the cell vectors:
Te: 0.198 0.250 0.085
Te: 0.802 0.750 0.915
Rh: 0.003 0.750 0.243
Rh: 0.997 0.250 0.757
I: 0.232 0.750 0.591
I: 0.768 0.250 0.409

Calculated values
**E_form (uncorrected)**: -353 meV/atom
**Crystal system**: monoclinic

=====

Er2TcRu: relaxed, GGA-PBE.

Lattice parameters (Å, degrees): 8.585 8.585 8.585 22.35 22.35 22.35
Sites, in units of the cell vectors:
Er: 0.249 0.249 0.249
Er: 0.751 0.751 0.751
Tc: 0.000 0.000 0.000
Ru: 0.500 0.500 0.500

Calculated values
**DFT formation energy**: 0.156 eV/atom
**DOS at the Fermi energy**: 4.7 states/eV per cell
**Crystal system**: trigonal

=====

Pm6SbPb: relaxed, GGA-PBE.

Lattice parameters (Å, degrees): 4.934 4.934 9.867 90.00 90.00 90.00
Sites, in units of the cell vectors:
Pm: 0.000 0.000 0.000
Pm: 0.000 0.000 0.500
Pm: 0.000 0.500 0.246
Pm: 0.000 0.500 0.754
Pm: 0.500 0.000 0.246
Pm: 0.500 0.000 0.754
Sb: 0.500 0.500 0.000
Pb: 0.500 0.500 0.500

Calculated values
**DOS at the Fermi energy**: 9.2 states/eV per cell
**E_form (uncorrected)**: -435 meV/atom
**Crystal system**: tetragonal

=====

TbCd5Ag2: relaxed, GGA-PBE.

Lattice parameters (Å, degrees): 7.467 7.467 7.467 153.52 104.68 81.46
Sites, in units of the cell vectors:
Tb: 0.000 0.000 0.000
Cd: 0.142 0.366 0.776
Cd: 0.410 0.634 0.776
Cd: 0.500 0.000 0.500
Cd: 0.590 0.366 0.224
Cd: 0.858 0.634 0.224
Ag: 0.243 0.743 0.500
Ag: 0.757 0.257 0.500

Calculated values
**DFT formation energy**: -0.148 eV/atom
**DOS at the Fermi energy**: 3.0 states/eV per cell
**Crystal system**: orthorhombic

=====

Number 1: total DFT energy (no corrections) -8.3187 eV per atom. Number 2: total DFT energy (no corrections) -4.9804 eV per atom. Number 3: total DFT energy (no corrections) -6.4404 eV per atom. Number 4: total DFT energy (no corrections) -8.1017 eV per atom. Number 5: total DFT energy (no corrections) -4.3670 eV per atom. Number 6: total DFT energy (no corrections) -7.0363 eV per atom. Number 7: total DFT energy (no corrections) -4.9763 eV per atom. Number 8: total DFT energy (no corrections) -2.0117 eV per atom.